The following is a DFT calculation (PBE with a Hubbard U) of crystalline CoNiTeO6 at its relaxed geometry.

Output
space-group type	P4_2nm, No. 102
raw total energy	-5.396	eV/atom

The structure in CIF format:
```
data_CoNiTeO6
_chemical_formula_sum 'Co2 Ni2 Te2 O12'
_cell_length_a 4.5357
_cell_length_b 4.5357
_cell_length_c 9.0811
_cell_angle_alpha 90.00
_cell_angle_beta 90.00
_cell_angle_gamma 90.00
_space_group_name_H-M_alt 'P 1'
_space_group_IT_number 1
loop_
_space_group_symop_operation_xyz
'x,y,z'
loop_
_atom_site_label
_atom_site_type_symbol
_atom_site_fract_x
_atom_site_fract_y
_atom_site_fract_z
_atom_site_occupancy
O1 O 0.8055 0.1945 0.8276 1
O2 O 0.6876 0.6876 0.0036 1
O3 O 0.1945 0.8055 0.8276 1
Co1 Co 0.5000 0.5000 0.1664 1
O4 O 0.8124 0.1876 0.5036 1
O5 O 0.7035 0.7035 0.6693 1
O6 O 0.2965 0.2965 0.6693 1
Co2 Co 0.0000 0.0000 0.6664 1
O7 O 0.3124 0.3124 0.0036 1
Te1 Te 0.0000 0.0000 0.3327 1
O8 O 0.7965 0.2035 0.1693 1
Te2 Te 0.5000 0.5000 0.8327 1
O9 O 0.2035 0.7965 0.1693 1
Ni1 Ni 0.5000 0.5000 0.4998 1
O10 O 0.6944 0.6944 0.3276 1
O11 O 0.1876 0.8124 0.5036 1
Ni2 Ni 0.0000 0.0000 0.9998 1
O12 O 0.3056 0.3056 0.3276 1
```